(1)
VASP calculation (PBE) on crystalline TmSe6Br12 at its relaxed geometry.

abc: 9.3244 9.3244 9.3244
angles: 71.81 71.81 71.81
Positions (direct):
Tm  0.0000  0.0000  0.0000
Se  0.2321  0.3162  0.5023
Se  0.3162  0.5023  0.2321
Se  0.4977  0.7679  0.6838
Se  0.5023  0.2321  0.3162
Se  0.6838  0.4977  0.7679
Se  0.7679  0.6838  0.4977
Br  0.0203  0.2810  0.4373
Br  0.1383  0.2501  0.8437
Br  0.1563  0.8617  0.7499
Br  0.2501  0.8437  0.1383
Br  0.2810  0.4373  0.0203
Br  0.4373  0.0203  0.2810
Br  0.5627  0.9797  0.7190
Br  0.7190  0.5627  0.9797
Br  0.7499  0.1563  0.8617
Br  0.8437  0.1383  0.2501
Br  0.8617  0.7499  0.1563
Br  0.9797  0.7190  0.5627

Output
For the uncorrected formation energy, the calculation gives -0.329 eV per atom. As for the crystal system: trigonal. Its density of states at the Fermi level is 0.5756 states/eV/atom. The calculated total energy comes out at -2.721 eV per atom.

***

(2)
VASP calculation (PBE) on crystalline Tl3In2S4 at its relaxed geometry.

abc: 7.3585 7.3585 9.9972
angles: 121.05 121.05 37.04
Positions (direct):
Tl  0.0000  0.0000  0.0000
Tl  0.3629  0.3629  0.2333
Tl  0.6371  0.6371  0.7667
In  0.3218  0.3218  0.6517
In  0.6782  0.6782  0.3483
S  0.1143  0.1143  0.3918
S  0.3061  0.3061  0.8867
S  0.6939  0.6939  0.1133
S  0.8857  0.8857  0.6082

Output
For the uncorrected formation energy, the calculation gives -0.378 eV per atom. As for the crystal system: monoclinic. Its density of states at the Fermi level is 0.2202 states/eV/atom. The calculated total energy comes out at -3.610 eV per atom.

***

(3)
VASP calculation (PBE) on crystalline Y3Mo at its relaxed geometry.

abc: 6.6974 6.6974 10.7051
angles: 90.00 90.00 120.00
Positions (direct):
Y  0.0000  0.5000  0.0000
Y  0.0000  0.5000  0.5000
Y  0.1604  0.3207  0.2500
Y  0.1604  0.8396  0.2500
Y  0.3207  0.1604  0.7500
Y  0.5000  0.0000  0.0000
Y  0.5000  0.0000  0.5000
Y  0.5000  0.5000  0.0000
Y  0.5000  0.5000  0.5000
Y  0.6793  0.8396  0.2500
Y  0.8396  0.1604  0.7500
Y  0.8396  0.6793  0.7500
Mo  0.0000  0.0000  0.0000
Mo  0.0000  0.0000  0.5000
Mo  0.3333  0.6667  0.7500
Mo  0.6667  0.3333  0.2500

Output
As for the formation energy from the elements: 0.352 eV/atom. As for the crystal system: hexagonal. Its density of states at the Fermi level is 1.0474 states/eV/atom. The calculated total energy comes out at -7.204 eV per atom.

***

(4)
VASP calculation (PBE) on crystalline Tb12SmSc6 at its relaxed geometry.

abc: 9.0534 9.0534 9.0534
angles: 107.45 107.45 107.45
Positions (direct):
Tb  0.0000  0.3878  0.6122
Tb  0.0000  0.6122  0.3878
Tb  0.1221  0.1221  0.3469
Tb  0.1221  0.3469  0.1221
Tb  0.3469  0.1221  0.1221
Tb  0.3878  0.0000  0.6122
Tb  0.3878  0.6122  0.0000
Tb  0.6122  0.0000  0.3878
Tb  0.6122  0.3878  0.0000
Tb  0.6531  0.8779  0.8779
Tb  0.8779  0.6531  0.8779
Tb  0.8779  0.8779  0.6531
Sm  0.5000  0.5000  0.5000
Sc  0.1907  0.1907  0.7739
Sc  0.1907  0.7739  0.1907
Sc  0.2261  0.8093  0.8093
Sc  0.7739  0.1907  0.1907
Sc  0.8093  0.2261  0.8093
Sc  0.8093  0.8093  0.2261

Output
As for the formation energy from the elements: 0.428 eV/atom. As for the crystal system: trigonal. Its density of states at the Fermi level is 1.4639 states/eV/atom. The calculated total energy comes out at -4.744 eV per atom.

***

Among the records above, which one has the lowest calculated total energy?
Y3Mo